# 1
First-principles (PBE) data for a geometry-optimized RePSeBr2 structure, as listed in the Alexandria database.

Cell: 5.2445 5.2445 4.7469 Å, 90.00 90.00 90.00°
With the nearest neighbours (Å) after each atom.
Space group P4/mmm (No. 123)
Unique sites:
1 Re 0.0000 0.0000 0.0000  2 Se 2.37, 4 Br 2.62
2 P 0.5000 0.5000 0.5000  8 Br 3.54, 4 Se 3.71
3 Se 0.0000 0.0000 0.5000  2 Re 2.37
4 Br 0.0000 0.5000 0.0000  2 Re 2.62

Computed properties:
The value obtained for the uncorrected formation energy is 0.90 eV/atom. As for the final energy: -4.037 eV per atom. For the magnetic moment, the calculation gives 1.37 μB/f.u. As for the energy above the most stable polymorph in this dataset: 0.000 eV/atom.


# 2
First-principles (PBE) data for a geometry-optimized RePSeBr2 structure, as listed in the Alexandria database.

Cell: 4.9735 4.9735 5.1780 Å, 90.00 90.00 90.00°
With the nearest neighbours (Å) after each atom.
Space group P4/mmm (No. 123)
Unique sites:
1 Re 0.0000 0.0000 0.0000  4 Se 3.52, 8 Br 3.59
2 P 0.5000 0.5000 0.5000  4 Br 2.49, 2 Se 2.59
3 Se 0.5000 0.5000 0.0000  2 P 2.59
4 Br 0.0000 0.5000 0.5000  2 P 2.49

Computed properties:
The value obtained for the uncorrected formation energy is 1.25 eV/atom. As for the final energy: -3.684 eV per atom. For the magnetic moment, the calculation gives 5.12 μB/f.u. As for the energy above the most stable polymorph in this dataset: 0.353 eV/atom.


# 3
First-principles (PBE) data for a geometry-optimized Ta2RePBr structure, as listed in the Alexandria database.

Cell: 4.6208 4.6208 4.7221 Å, 90.00 90.00 90.00°
With the nearest neighbours (Å) after each atom.
Space group P4/mmm (No. 123)
Unique sites:
1 Ta 0.0000 0.5000 0.0000  2 P 2.31
2 Re 0.0000 0.0000 0.5000  4 Br 3.27, 8 Ta 3.30
3 P 0.5000 0.5000 0.0000  4 Ta 2.31, 2 Br 2.36
4 Br 0.5000 0.5000 0.5000  2 P 2.36

Computed properties:
The value obtained for the uncorrected formation energy is 1.59 eV/atom. As for the final energy: -7.057 eV per atom. For the magnetic moment, the calculation gives 0.00 μB/f.u.